[1]
# SrThIn2I8

Crystalline SrThIn2I8 at its relaxed geometry (PBE, Alexandria).

Results
- energy relative to the elements, uncorrected (eV per atom) = -1.06
- total moment (μB/f.u.) = 0.000
- total energy (hartree per atom) = -0.12167

Lattice parameters (Å, degrees): 7.7032 9.6708 8.1492 90.00 92.19 90.00
Space group P2/m (No. 10)
Inequivalent atoms, fractional coordinates:
Sr 0.0000 0.0000 0.0000 x1
Th 0.0000 0.5000 0.0000 x1
In 0.5000 0.2424 0.5000 x2
I 0.2141 0.5000 0.3201 x2
I 0.2344 0.2675 0.8628 x4
I 0.2509 0.0000 0.3317 x2

---

[2]
# LiCrTc

Crystalline LiCrTc at its relaxed geometry (PBE, Alexandria).

Results
- energy relative to the elements (eV per atom) = 0.37
- total moment (μB/f.u.) = 0.000
- distance to the lowest polymorph of the same formula (meV/atom) = 190.5
- total energy (hartree per atom) = -0.25455

Lattice parameters (Å, degrees): 2.6322 2.6322 6.9122 90.00 90.00 120.00
Space group P3m1 (No. 156)
Inequivalent atoms, fractional coordinates:
Li 0.0000 0.0000 0.0000 x1
Cr 0.3333 0.6667 0.6576 x1
Tc 0.6667 0.3333 0.3516 x1

---

[3]
# K2DyUS4

Crystalline K2DyUS4 at its relaxed geometry (PBE, Alexandria).

Results
- energy relative to the elements, uncorrected (eV per atom) = -1.62
- total moment (μB/f.u.) = 3.007
- total energy (hartree per atom) = -0.21833

Lattice parameters (Å, degrees): 7.0248 4.0542 7.7593 90.00 107.57 90.00
Space group P2/m (No. 10)
Inequivalent atoms, fractional coordinates:
K 0.0000 0.0000 0.0000 x1
K 0.5000 0.5000 0.0000 x1
Dy 0.0000 0.5000 0.5000 x1
U 0.5000 0.0000 0.5000 x1
S 0.2336 0.0000 0.7031 x2
S 0.2649 0.5000 0.2969 x2

---

[4]
# Ni3H3Pd

Crystalline Ni3H3Pd at its relaxed geometry (PBE, Alexandria).

Results
- total moment (μB/f.u.) = 0.000
- distance to the lowest polymorph of the same formula (meV/atom) = 0.0
- total energy (hartree per atom) = -0.17218

Lattice parameters (Å, degrees): 6.2935 2.7924 7.0347 90.00 116.29 90.00
Space group P2_1/m (No. 11)
Inequivalent atoms, fractional coordinates:
Ni 0.0263 0.2500 0.3657 x2
Ni 0.3324 0.2500 0.8583 x2
Ni 0.3897 0.7500 0.5849 x2
H 0.0421 0.2500 0.7971 x2
H 0.3269 0.2500 0.4246 x2
H 0.4966 0.2500 0.1388 x2
Pd 0.2172 0.7500 0.1331 x2

---

[5]
# SmHg2Bi

Crystalline SmHg2Bi at its relaxed geometry (PBE, Alexandria).

Results
- energy relative to the elements (eV per atom) = -0.28
- total moment (μB/f.u.) = 0.028
- total energy (hartree per atom) = -0.09495

Lattice parameters (Å, degrees): 3.8635 3.8635 7.3292 90.00 90.00 90.00
Space group P4/mmm (No. 123)
Inequivalent atoms, fractional coordinates:
Sm 0.0000 0.0000 0.0000 x1
Hg 0.5000 0.5000 0.2490 x2
Bi 0.0000 0.0000 0.5000 x1

---

[6]
# NaCuPd2

Crystalline NaCuPd2 at its relaxed geometry (PBE, Alexandria).

Results
- energy relative to the elements (eV per atom) = -0.06
- total moment (μB/f.u.) = 0.000
- total energy (hartree per atom) = -0.14750

Lattice parameters (Å, degrees): 2.8327 2.8327 8.0228 90.00 90.00 90.00
Space group P4/mmm (No. 123)
Inequivalent atoms, fractional coordinates:
Na 0.0000 0.0000 0.0000 x1
Cu 0.0000 0.0000 0.5000 x1
Pd 0.5000 0.5000 0.2854 x2

---

[7]
# BaNaPrSn

Crystalline BaNaPrSn at its relaxed geometry (PBE, Alexandria).

Results
- energy relative to the elements (eV per atom) = -0.30
- total moment (μB/f.u.) = 0.000
- total energy (hartree per atom) = -0.12134

Lattice parameters (Å, degrees): 8.2054 8.2054 8.2054 90.00 90.00 90.00
Space group F-43m (No. 216)
Inequivalent atoms, fractional coordinates:
Ba 0.0000 0.0000 0.0000 x4
Na 0.2500 0.2500 0.2500 x4
Pr 0.0000 0.0000 0.5000 x4
Sn 0.2500 0.2500 0.7500 x4

---

[8]
# NaMgCoI2

Crystalline NaMgCoI2 at its relaxed geometry (PBE, Alexandria).

Results
- energy relative to the elements, uncorrected (eV per atom) = 0.60
- total moment (μB/f.u.) = 3.628
- total energy (hartree per atom) = -0.07423

Lattice parameters (Å, degrees): 5.8637 5.8637 5.3018 90.00 90.00 90.00
Space group P4/mmm (No. 123)
Inequivalent atoms, fractional coordinates:
Na 0.0000 0.0000 0.0000 x1
Mg 0.5000 0.5000 0.5000 x1
Co 0.0000 0.0000 0.5000 x1
I 0.0000 0.5000 0.0000 x2

---

[9]
# K4La3NdS8

Crystalline K4La3NdS8 at its relaxed geometry (PBE, Alexandria).

Results
- energy relative to the elements, uncorrected (eV per atom) = -1.90
- total moment (μB/f.u.) = 0.000
- total energy (hartree per atom) = -0.20078

Lattice parameters (Å, degrees): 8.5422 8.5422 22.1213 90.00 90.00 120.00
Space group R-3m (No. 166, hexagonal axes)
Inequivalent atoms, fractional coordinates:
K 0.0000 0.0000 0.0000 x3
K 0.0000 0.5000 0.0000 x9
La 0.0000 0.5000 0.5000 x9
Nd 0.0000 0.0000 0.5000 x3
S 0.0000 0.0000 0.2361 x6
S 0.0035 0.5017 0.2359 x18

---

[10]
# SiAg2O2F2

Crystalline SiAg2O2F2 at its relaxed geometry (PBE, Alexandria).

Results
- energy relative to the elements, uncorrected (eV per atom) = -1.40
- total moment (μB/f.u.) = 0.000
- total energy (hartree per atom) = -0.18157

Lattice parameters (Å, degrees): 10.1663 3.0287 6.7343 90.00 118.18 90.00
Space group C2/m (No. 12)
Inequivalent atoms, fractional coordinates:
Si 0.0000 0.0000 0.0000 x2
Ag 0.1547 0.0000 0.6073 x4
O 0.1366 0.0000 0.2562 x4
F 0.0914 0.5000 0.9269 x4

---

[11]
# La2Cu2Ni

Crystalline La2Cu2Ni at its relaxed geometry (PBE, Alexandria).

Results
- energy relative to the elements (eV per atom) = 0.00
- total moment (μB/f.u.) = 0.000
- total energy (hartree per atom) = -0.17500

Lattice parameters (Å, degrees): 5.5995 5.5995 7.2618 90.00 90.00 90.00
Space group I4/mmm (No. 139)
Inequivalent atoms, fractional coordinates:
La 0.0000 0.5000 0.2500 x4
Cu 0.0000 0.0000 0.1578 x4
Ni 0.0000 0.0000 0.5000 x2

---

[12]
# Sc2InCl

Crystalline Sc2InCl at its relaxed geometry (PBE, Alexandria).

Results
- energy relative to the elements, uncorrected (eV per atom) = -0.61
- total moment (μB/f.u.) = 0.000
- distance to the lowest polymorph of the same formula (meV/atom) = 163.6
- total energy (hartree per atom) = -0.18087

Lattice parameters (Å, degrees): 3.6370 6.0400 8.3334 90.00 90.00 90.00
Space group Immm (No. 71)
Inequivalent atoms, fractional coordinates:
Sc 0.0000 0.0000 0.2093 x4
In 0.0000 0.5000 0.0000 x2
Cl 0.0000 0.5000 0.5000 x2

---

Copy entry 9 word for word.
# K4La3NdS8

Crystalline K4La3NdS8 at its relaxed geometry (PBE, Alexandria).

Results
- energy relative to the elements, uncorrected (eV per atom) = -1.90
- total moment (μB/f.u.) = 0.000
- total energy (hartree per atom) = -0.20078

Lattice parameters (Å, degrees): 8.5422 8.5422 22.1213 90.00 90.00 120.00
Space group R-3m (No. 166, hexagonal axes)
Inequivalent atoms, fractional coordinates:
K 0.0000 0.0000 0.0000 x3
K 0.0000 0.5000 0.0000 x9
La 0.0000 0.5000 0.5000 x9
Nd 0.0000 0.0000 0.5000 x3
S 0.0000 0.0000 0.2361 x6
S 0.0035 0.5017 0.2359 x18

---

Number 4 is which compound? Ni3H3Pd

---

Repeat the twelfth record exactly.
# Sc2InCl

Crystalline Sc2InCl at its relaxed geometry (PBE, Alexandria).

Results
- energy relative to the elements, uncorrected (eV per atom) = -0.61
- total moment (μB/f.u.) = 0.000
- distance to the lowest polymorph of the same formula (meV/atom) = 163.6
- total energy (hartree per atom) = -0.18087

Lattice parameters (Å, degrees): 3.6370 6.0400 8.3334 90.00 90.00 90.00
Space group Immm (No. 71)
Inequivalent atoms, fractional coordinates:
Sc 0.0000 0.0000 0.2093 x4
In 0.0000 0.5000 0.0000 x2
Cl 0.0000 0.5000 0.5000 x2

---

Which value of total moment does entry 2 give? 0.000 μB/f.u.